w) ## SiRhCl2 (GGA-PBE)

Data for crystalline SiRhCl2 at its relaxed geometry.

Properties
Density of states at the Fermi level ... 17.7 states/eV/cell

abc: 6.522 6.522 6.522
angles: 90.00 90.00 90.00
Positions (direct):
Si (0.000, 0.000, 0.000)
Si (0.000, 0.500, 0.500)
Si (0.500, 0.000, 0.500)
Si (0.500, 0.500, 0.000)
Rh (0.000, 0.000, 0.500)
Rh (0.000, 0.500, 0.000)
Rh (0.500, 0.000, 0.000)
Rh (0.500, 0.500, 0.500)
Cl (0.250, 0.250, 0.250)
Cl (0.250, 0.250, 0.750)
Cl (0.250, 0.750, 0.250)
Cl (0.250, 0.750, 0.750)
Cl (0.750, 0.250, 0.250)
Cl (0.750, 0.250, 0.750)
Cl (0.750, 0.750, 0.250)
Cl (0.750, 0.750, 0.750)

x) ## SiRhCl2 (GGA-PBE)

Data for crystalline SiRhCl2 at its relaxed geometry.

Properties
Density of states at the Fermi level ... 5.1 states/eV/cell

abc: 3.084 5.684 8.523
angles: 90.00 90.00 90.00
Positions (direct):
Si (0.000, 0.000, 0.000)
Si (0.500, 0.500, 0.000)
Rh (0.000, 0.000, 0.500)
Rh (0.500, 0.500, 0.500)
Cl (0.000, 0.500, 0.286)
Cl (0.000, 0.500, 0.714)
Cl (0.500, 0.000, 0.286)
Cl (0.500, 0.000, 0.714)

y) ## SiRhCl2 (GGA-PBE)

Data for crystalline SiRhCl2 at its relaxed geometry.

Properties
Density of states at the Fermi level ... 6.5 states/eV/cell

abc: 3.479 3.523 14.335
angles: 90.00 90.00 90.00
Positions (direct):
Si (0.000, 0.000, 0.000)
Si (0.500, 0.500, 0.500)
Rh (0.000, 0.000, 0.500)
Rh (0.500, 0.500, 0.000)
Cl (0.000, 0.500, 0.356)
Cl (0.000, 0.500, 0.644)
Cl (0.500, 0.000, 0.144)
Cl (0.500, 0.000, 0.856)

Most favorable structure: y). The second most favorable one is 0.450 eV/atom above it.

w) ## SiRhCl2 (GGA-PBE)

Data for crystalline SiRhCl2 at its relaxed geometry.

Properties
Density of states at the Fermi level ... 3.2 states/eV/cell

abc: 5.010 5.010 5.716
angles: 90.00 90.00 90.00
Positions (direct):
Si (0.000, 0.000, 0.000)
Si (0.500, 0.500, 0.500)
Rh (0.000, 0.000, 0.500)
Rh (0.500, 0.500, 0.000)
Cl (0.000, 0.500, 0.000)
Cl (0.000, 0.500, 0.500)
Cl (0.500, 0.000, 0.000)
Cl (0.500, 0.000, 0.500)

x) ## SiRhCl2 (GGA-PBE)

Data for crystalline SiRhCl2 at its relaxed geometry.

Properties
Density of states at the Fermi level ... 8.1 states/eV/cell

abc: 3.264 3.264 24.530
angles: 90.00 90.00 120.00
Positions (direct):
Si (0.000, 0.000, 0.000)
Si (0.333, 0.667, 0.667)
Si (0.667, 0.333, 0.333)
Rh (0.000, 0.000, 0.500)
Rh (0.333, 0.667, 0.167)
Rh (0.667, 0.333, 0.833)
Cl (0.000, 0.000, 0.235)
Cl (0.000, 0.000, 0.765)
Cl (0.333, 0.667, 0.432)
Cl (0.333, 0.667, 0.902)
Cl (0.667, 0.333, 0.098)
Cl (0.667, 0.333, 0.568)

Most favorable structure: w). The second most favorable one is 0.163 eV/atom above it.

w) ## Si3RhCl (GGA-PBE)

Data for crystalline Si3RhCl at its relaxed geometry.

Properties
Density of states at the Fermi level ... 3.6 states/eV/cell

abc: 4.650 4.650 4.650
angles: 90.00 90.00 90.00
Positions (direct):
Si (0.000, 0.000, 0.500)
Si (0.000, 0.500, 0.000)
Si (0.500, 0.000, 0.000)
Rh (0.000, 0.000, 0.000)
Cl (0.500, 0.500, 0.500)

x) ## Si3RhCl (GGA-PBE)

Data for crystalline Si3RhCl at its relaxed geometry.

Properties
Density of states at the Fermi level ... 4.6 states/eV/cell

abc: 4.462 4.462 4.462
angles: 90.00 90.00 90.00
Positions (direct):
Si (0.000, 0.000, 0.500)
Si (0.000, 0.500, 0.000)
Si (0.500, 0.000, 0.000)
Rh (0.500, 0.500, 0.500)
Cl (0.000, 0.000, 0.000)

Most favorable structure: w). The second most favorable one is 1.079 eV/atom above it.